Record 1
VASP calculation (PBE) on a relaxed structure of TmNpIrAu.

Computed properties:
**Crystal system**: cubic
**Spin magnetization**: 4.03 μB/cell
**DFT total energy**: -7.81 eV/atom
**ΔH_f (0 K)**: -420 meV per atom

a b c (Å): 4.9434 4.9434 4.9434
angles (deg): 60.00 60.00 60.00
With the nearest neighbours (Å) after each atom.
Positions (direct):
Np (0.5000, 0.5000, 0.5000)  4 Au 3.03, 4 Ir 3.03
Tm (0.0000, 0.0000, 0.0000)  4 Ir 3.03, 4 Au 3.03
Ir (0.2500, 0.2500, 0.2500)  4 Np 3.03, 4 Tm 3.03
Au (0.7500, 0.7500, 0.7500)  4 Tm 3.03, 4 Np 3.03


Record 2
VASP calculation (PBE) on a relaxed structure of NpUIrAu.

Computed properties:
**Crystal system**: cubic
**Spin magnetization**: 5.06 μB/cell
**DFT total energy**: -9.43 eV/atom
**ΔH_f (0 K)**: -339 meV per atom

a b c (Å): 4.7534 4.7534 4.7534
angles (deg): 60.00 60.00 60.00
With the nearest neighbours (Å) after each atom.
Positions (direct):
Np (0.7500, 0.7500, 0.7500)  4 U 2.91, 4 Au 2.91
Au (0.0000, 0.0000, 0.0000)  4 Np 2.91, 4 Ir 2.91
Ir (0.2500, 0.2500, 0.2500)  4 U 2.91, 4 Au 2.91
U (0.5000, 0.5000, 0.5000)  4 Ir 2.91, 4 Np 2.91


Repeat the second record exactly.
VASP calculation (PBE) on a relaxed structure of NpUIrAu.

Computed properties:
**Crystal system**: cubic
**Spin magnetization**: 5.06 μB/cell
**DFT total energy**: -9.43 eV/atom
**ΔH_f (0 K)**: -339 meV per atom

a b c (Å): 4.7534 4.7534 4.7534
angles (deg): 60.00 60.00 60.00
With the nearest neighbours (Å) after each atom.
Positions (direct):
Np (0.7500, 0.7500, 0.7500)  4 U 2.91, 4 Au 2.91
Au (0.0000, 0.0000, 0.0000)  4 Np 2.91, 4 Ir 2.91
Ir (0.2500, 0.2500, 0.2500)  4 U 2.91, 4 Au 2.91
U (0.5000, 0.5000, 0.5000)  4 Ir 2.91, 4 Np 2.91


Question: Which formula does entry 1 have?
Answer: TmNpIrAu